1.
First-principles (PBEsol) data for a relaxed CsLuNb6Cl18 crystal, as listed in the Alexandria database.

Results
Space-group type ... P-31c
Final energy ... -292.5 eV per cell

a = 9.190 Å, b = 9.190 Å, c = 17.111 Å
α = 90.00°, β = 90.00°, γ = 120.00°
Positions (direct):
Cl: 0.812 0.762 0.662
Cl: 0.361 0.452 0.663
Cl: 0.862 0.579 0.501
Cl: 0.762 0.950 0.338
Cl: 0.909 0.361 0.337
Cl: 0.421 0.283 0.501
Cl: 0.862 0.283 0.999
Cl: 0.452 0.361 0.163
Cl: 0.091 0.639 0.663
Cl: 0.188 0.950 0.162
Cl: 0.717 0.138 0.501
Cl: 0.138 0.717 0.001
Cl: 0.091 0.452 0.837
Cl: 0.579 0.717 0.499
Cl: 0.812 0.050 0.838
Cl: 0.762 0.812 0.162
Cl: 0.950 0.188 0.662
Cl: 0.452 0.091 0.337
Cl: 0.361 0.909 0.837
Cl: 0.717 0.579 0.999
Cl: 0.909 0.548 0.163
Cl: 0.283 0.862 0.499
Cl: 0.421 0.138 0.999
Cl: 0.579 0.862 0.001
Cl: 0.138 0.421 0.499
Cl: 0.950 0.762 0.838
Cl: 0.238 0.188 0.838
Cl: 0.188 0.238 0.338
Cl: 0.639 0.548 0.337
Cl: 0.639 0.091 0.163
Cl: 0.238 0.050 0.662
Cl: 0.548 0.639 0.837
Cl: 0.050 0.812 0.338
Cl: 0.283 0.421 0.001
Cl: 0.050 0.238 0.162
Cl: 0.548 0.909 0.663
Nb: 0.957 0.800 0.069
Nb: 0.843 0.043 0.069
Nb: 0.800 0.957 0.569
Nb: 0.043 0.843 0.569
Nb: 0.043 0.200 0.931
Nb: 0.800 0.843 0.931
Nb: 0.200 0.157 0.069
Nb: 0.157 0.200 0.569
Nb: 0.157 0.957 0.931
Nb: 0.843 0.800 0.431
Nb: 0.957 0.157 0.431
Nb: 0.200 0.043 0.431
Cs: 0.667 0.333 0.750
Cs: 0.333 0.667 0.250
Lu: 0.667 0.333 0.250
Lu: 0.333 0.667 0.750

2.
First-principles (PBEsol) data for a relaxed CsNa2Cd2 crystal, as listed in the Alexandria database.

Results
Fermi-level density of states ... 0.44 states/eV per atom
Space-group type ... I4/mmm
Formation enthalpy at 0 K ... 24 meV per atom

a = 5.157 Å, b = 5.157 Å, c = 7.808 Å
α = 109.28°, β = 109.28°, γ = 90.00°
Positions (direct):
Cd: 0.395 0.395 0.790
Cd: 0.605 0.605 0.210
Cs: 0.000 0.000 0.000
Na: 0.750 0.250 0.500
Na: 0.250 0.750 0.500

3.
First-principles (PBEsol) data for a relaxed TcNiRh crystal, as listed in the Alexandria database.

Results
Fermi-level density of states ... 1.38 states/eV per atom
Space-group type ... I4mm
Formation enthalpy at 0 K ... -37 meV per atom

a = 2.643 Å, b = 2.643 Å, c = 5.743 Å
α = 103.33°, β = 103.33°, γ = 89.96°
Positions (direct):
Tc: 0.664 0.664 0.327
Ni: 0.003 0.003 0.005
Rh: 0.334 0.334 0.668

4.
First-principles (PBEsol) data for a relaxed Sr3In crystal, as listed in the Alexandria database.

Results
Fermi-level density of states ... 0.89 states/eV per atom
Space-group type ... P4/mmm
Formation enthalpy at 0 K ... -228 meV per atom

a = 4.043 Å, b = 4.043 Å, c = 10.273 Å
α = 90.00°, β = 90.00°, γ = 90.00°
Positions (direct):
Sr: 0.500 0.500 0.811
Sr: 0.000 0.000 0.500
Sr: 0.500 0.500 0.189
In: 0.000 0.000 0.000

5.
First-principles (PBEsol) data for a relaxed SrMn2Tl crystal, as listed in the Alexandria database.

Results
Fermi-level density of states ... 0.82 states/eV per atom
Space-group type ... P4mm
Formation enthalpy at 0 K ... 496 meV per atom

a = 3.382 Å, b = 3.382 Å, c = 7.621 Å
α = 90.00°, β = 90.00°, γ = 90.00°
Positions (direct):
Tl: 0.500 0.500 0.807
Mn: 0.000 0.000 0.025
Mn: 0.500 0.500 0.186
Sr: 0.000 0.000 0.482

6.
First-principles (PBEsol) data for a relaxed Ti17N6O24 crystal, as listed in the Alexandria database.

Results
Fermi-level density of states ... 0.14 states/eV per atom
Space-group type ... Pmmn
Final energy ... -892.0 eV per cell

a = 9.549 Å, b = 9.905 Å, c = 11.378 Å
α = 90.00°, β = 90.00°, γ = 90.00°
Positions (direct):
Ti: 0.888 0.322 0.833
Ti: 0.888 0.678 0.833
Ti: 0.550 0.500 0.837
Ti: 0.393 0.326 0.662
Ti: 0.112 0.822 0.667
Ti: 0.607 0.174 0.162
Ti: 0.947 0.000 0.165
Ti: 0.947 0.000 0.835
Ti: 0.550 0.500 0.163
Ti: 0.614 0.193 0.500
Ti: 0.053 0.500 0.335
Ti: 0.386 0.693 0.000
Ti: 0.450 0.000 0.663
Ti: 0.886 0.320 0.500
Ti: 0.393 0.326 0.338
Ti: 0.607 0.826 0.838
Ti: 0.950 0.000 0.500
Ti: 0.393 0.674 0.338
Ti: 0.053 0.500 0.665
Ti: 0.114 0.180 0.000
Ti: 0.114 0.820 0.000
Ti: 0.888 0.678 0.167
Ti: 0.112 0.822 0.333
Ti: 0.450 0.000 0.337
Ti: 0.888 0.322 0.167
Ti: 0.393 0.674 0.662
Ti: 0.607 0.826 0.162
Ti: 0.112 0.178 0.667
Ti: 0.050 0.500 0.000
Ti: 0.607 0.174 0.838
Ti: 0.386 0.307 0.000
Ti: 0.886 0.680 0.500
Ti: 0.112 0.178 0.333
Ti: 0.614 0.807 0.500
O: 0.938 0.687 0.666
O: 0.799 0.869 0.833
O: 0.298 0.870 0.330
O: 0.201 0.631 0.333
O: 0.425 0.302 0.500
O: 0.062 0.813 0.166
O: 0.801 0.128 0.500
O: 0.560 0.811 0.665
O: 0.062 0.813 0.834
O: 0.068 0.184 0.500
O: 0.799 0.869 0.167
O: 0.575 0.198 0.000
O: 0.801 0.872 0.500
O: 0.199 0.372 0.000
O: 0.560 0.189 0.335
O: 0.068 0.816 0.500
O: 0.560 0.189 0.665
O: 0.706 0.639 0.500
O: 0.298 0.870 0.670
O: 0.440 0.311 0.835
O: 0.199 0.628 0.000
O: 0.932 0.316 0.000
O: 0.575 0.802 0.000
O: 0.298 0.130 0.330
O: 0.702 0.370 0.170
O: 0.201 0.369 0.333
O: 0.560 0.811 0.335
O: 0.062 0.187 0.166
O: 0.201 0.631 0.667
O: 0.201 0.369 0.667
O: 0.938 0.313 0.666
O: 0.440 0.311 0.165
O: 0.799 0.131 0.833
O: 0.425 0.698 0.500
O: 0.294 0.861 0.000
O: 0.702 0.630 0.170
O: 0.706 0.361 0.500
O: 0.294 0.139 0.000
O: 0.932 0.684 0.000
O: 0.062 0.187 0.834
O: 0.298 0.130 0.670
O: 0.440 0.689 0.165
O: 0.440 0.689 0.835
O: 0.799 0.131 0.167
O: 0.702 0.370 0.830
O: 0.938 0.313 0.334
O: 0.938 0.687 0.334
O: 0.702 0.630 0.830
N: 0.981 0.500 0.168
N: 0.019 0.000 0.332
N: 0.019 0.000 0.668
N: 0.524 0.000 0.500
N: 0.984 0.500 0.500
N: 0.531 0.000 0.819
N: 0.016 0.000 0.000
N: 0.531 0.000 0.181
N: 0.981 0.500 0.832
N: 0.469 0.500 0.681
N: 0.469 0.500 0.319
N: 0.476 0.500 0.000